[1]
! Hg2MoOs (PBE, optimized geometry); values from VASP
&SYSTEM
  ibrav = 0, nat = 8, ntyp = 3
/
ATOMIC_SPECIES
Hg 200.59 Hg.upf
Mo 95.94 Mo.upf
Os 190.23 Os.upf
CELL_PARAMETERS angstrom
7.686 0.000 0.000
0.000 7.686 0.000
3.843 3.843 2.688
ATOMIC_POSITIONS angstrom
Hg 9.607 9.677 2.016
Hg 5.834 1.921 0.672
Mo 3.843 7.686 1.344
Os 7.686 3.843 1.344
Os 0.000 0.000 0.000
Hg 1.852 5.764 0.672
Mo 3.843 3.843 0.000
Hg 5.764 5.695 2.016
! Formation energy   1.3516 eV/atom
! Total magnetization   2.590 μB/cell
! E above lowest polymorph   4.08 eV per formula unit

***

[2]
! HgMoOs2Pb (PBE, optimized geometry); values from VASP
&SYSTEM
  ibrav = 0, nat = 5, ntyp = 4
/
ATOMIC_SPECIES
Os 190.23 Os.upf
Pb 207.20 Pb.upf
Mo 95.94 Mo.upf
Hg 200.59 Hg.upf
CELL_PARAMETERS angstrom
4.987 0.000 0.000
0.000 5.153 0.000
0.000 0.000 4.987
ATOMIC_POSITIONS angstrom
Os 0.000 0.000 2.493
Os 2.493 0.000 0.000
Pb 0.000 0.000 0.000
Mo 0.000 2.577 0.000
Hg 2.493 2.577 2.493
! Formation energy   2.7838 eV/atom
! Total magnetization   4.842 μB/cell

***

[3]
! HgMoOsS2 (PBE, optimized geometry); values from VASP
&SYSTEM
  ibrav = 0, nat = 5, ntyp = 4
/
ATOMIC_SPECIES
S 32.06 S.upf
Mo 95.94 Mo.upf
Hg 200.59 Hg.upf
Os 190.23 Os.upf
CELL_PARAMETERS angstrom
-2.523 2.057 3.174
-3.655 -2.308 -1.409
1.119 -3.829 3.371
ATOMIC_POSITIONS angstrom
S -1.261 1.028 1.587
Mo 0.560 -1.915 1.685
Hg -2.529 -2.040 2.568
Os 0.000 0.000 0.000
S -1.827 -1.154 -0.704
! Total magnetization   3.027 μB/cell
! Formation energy without anion corrections   87 kJ/mol of atoms

***

[4]
! ZrHgMoOs2 (PBE, optimized geometry); values from VASP
&SYSTEM
  ibrav = 0, nat = 5, ntyp = 4
/
ATOMIC_SPECIES
Zr 91.22 Zr.upf
Os 190.23 Os.upf
Hg 200.59 Hg.upf
Mo 95.94 Mo.upf
CELL_PARAMETERS angstrom
-0.690 -4.749 -0.694
0.558 -0.779 4.772
-4.767 0.597 0.655
ATOMIC_POSITIONS angstrom
Zr 0.000 0.000 0.000
Os -0.345 -2.374 -0.347
Hg -2.449 -2.466 2.367
Mo 0.279 -0.389 2.386
Os -2.384 0.298 0.328
! Formation energy   2.2318 eV/atom
! Total magnetization   2.242 μB/cell

***

[5]
! HgMo2P (PBE, optimized geometry); values from VASP
&SYSTEM
  ibrav = 0, nat = 8, ntyp = 3
/
ATOMIC_SPECIES
Hg 200.59 Hg.upf
Mo 95.94 Mo.upf
P 30.97 P.upf
CELL_PARAMETERS angstrom
-0.494 2.394 3.037
0.184 -3.044 2.429
9.265 0.776 3.398
ATOMIC_POSITIONS angstrom
Hg 4.308 1.422 4.584
Mo 6.667 0.186 7.194
Hg 0.000 0.000 0.000
P -0.155 -0.325 2.733
P 4.647 -1.296 4.280
Mo 6.843 0.165 4.737
Mo 2.059 1.173 2.879
Mo 2.342 -1.273 2.920
! Formation energy   0.6734 eV/atom
! Total magnetization   0.000 μB/cell
! E above lowest polymorph   2.55 eV per formula unit

***

[6]
! HgMo2P (PBE, optimized geometry); values from VASP
&SYSTEM
  ibrav = 0, nat = 4, ntyp = 3
/
ATOMIC_SPECIES
Hg 200.59 Hg.upf
Mo 95.94 Mo.upf
P 30.97 P.upf
CELL_PARAMETERS angstrom
8.453 -1.502 -0.004
8.453 1.502 -0.004
8.187 0.000 2.585
ATOMIC_POSITIONS angstrom
Hg 0.000 0.000 0.000
Mo 5.968 0.000 0.613
P 12.546 0.000 1.288
Mo 19.125 0.000 1.964
! Formation energy   0.1960 eV/atom
! Total magnetization   0.000 μB/cell
! E above lowest polymorph   0.64 eV per formula unit

***

[7]
! HgMo2P (PBE, optimized geometry); values from VASP
&SYSTEM
  ibrav = 0, nat = 4, ntyp = 3
/
ATOMIC_SPECIES
Hg 200.59 Hg.upf
P 30.97 P.upf
Mo 95.94 Mo.upf
CELL_PARAMETERS angstrom
1.644 -2.266 0.000
1.644 2.266 0.000
0.000 0.000 10.009
ATOMIC_POSITIONS angstrom
Hg 1.644 0.000 2.164
P 0.000 0.000 5.672
Mo 0.000 0.000 9.666
Mo 1.644 0.000 7.519
! Formation energy   0.3169 eV/atom
! Total magnetization   0.000 μB/cell
! E above lowest polymorph   1.12 eV per formula unit

***

[8]
! Hg2MoP (PBE, optimized geometry); values from VASP
&SYSTEM
  ibrav = 0, nat = 4, ntyp = 3
/
ATOMIC_SPECIES
Mo 95.94 Mo.upf
Hg 200.59 Hg.upf
P 30.97 P.upf
CELL_PARAMETERS angstrom
-2.079 2.079 4.278
2.079 -2.079 4.278
2.079 2.079 -4.278
ATOMIC_POSITIONS angstrom
Mo 0.000 0.000 4.278
Hg 2.079 0.000 2.139
Hg 0.000 0.000 0.000
P 0.000 2.079 2.139
! Formation energy   0.6812 eV/atom
! Total magnetization   1.037 μB/cell
! E above lowest polymorph   2.36 eV per formula unit